This record from Alexandria via LeMat-Bulk describes a relaxed K2CeGaSe4 crystal. The functional is GGA-PBE.

Lattice parameters (Å, degrees): 8.7180 8.7180 8.7180 120.94 119.97 89.22
Fractional positions:
K 0.0000 0.0000 0.0000
K 0.5000 0.0000 0.0000
K 0.5000 0.0000 0.5000
K 0.5000 0.5000 0.5000
Ce 0.0000 0.5000 0.5000
Ce 0.5000 0.5000 0.0000
Ga 0.0000 0.0000 0.5000
Ga 0.0000 0.5000 0.0000
Se 0.1890 0.7362 0.4528
Se 0.2166 0.2638 0.9528
Se 0.2380 0.2657 0.5276
Se 0.2380 0.7104 0.9724
Se 0.7620 0.2896 0.0276
Se 0.7620 0.7343 0.4724
Se 0.7834 0.7362 0.0472
Se 0.8110 0.2638 0.5472

Values from the calculation:
For the volume, the calculation gives 29.1 Å³ per atom. The space-group type is No. 74. For the uncorrected formation energy, the calculation gives -1.162 eV per atom. The total energy is -4.298 eV/atom.

=====

This record from Alexandria via LeMat-Bulk describes a relaxed Rb2Np2VSe6 crystal. The functional is GGA-PBE.

Lattice parameters (Å, degrees): 6.9461 6.9461 8.5618 98.14 98.14 119.49
Fractional positions:
Rb 0.1709 0.8291 0.0000
Rb 0.8291 0.1709 0.0000
Np 0.3330 0.6670 0.5000
Np 0.6670 0.3330 0.5000
V 0.0000 0.0000 0.5000
Se 0.0666 0.3784 0.6870
Se 0.2475 0.2475 0.3145
Se 0.3784 0.0666 0.6870
Se 0.6216 0.9334 0.3130
Se 0.7525 0.7525 0.6855
Se 0.9334 0.6216 0.3130

Values from the calculation:
For the volume, the calculation gives 31.4 Å³ per atom. The space-group type is No. 12. For the uncorrected formation energy, the calculation gives -1.101 eV per atom. The total energy is -6.360 eV/atom.

=====

This record from Alexandria via LeMat-Bulk describes a relaxed TbPmTm2 crystal. The functional is GGA-PBE.

Lattice parameters (Å, degrees): 7.9964 7.9964 7.9964 90.00 90.00 90.00
Fractional positions:
Tb 0.0000 0.0000 0.0000
Tb 0.0000 0.5000 0.5000
Tb 0.5000 0.0000 0.5000
Tb 0.5000 0.5000 0.0000
Pm 0.0000 0.0000 0.5000
Pm 0.0000 0.5000 0.0000
Pm 0.5000 0.0000 0.0000
Pm 0.5000 0.5000 0.5000
Tm 0.2500 0.2500 0.2500
Tm 0.2500 0.2500 0.7500
Tm 0.2500 0.7500 0.2500
Tm 0.2500 0.7500 0.7500
Tm 0.7500 0.2500 0.2500
Tm 0.7500 0.2500 0.7500
Tm 0.7500 0.7500 0.2500
Tm 0.7500 0.7500 0.7500

Values from the calculation:
The calculation puts the energy above the most stable polymorph in this dataset at 99 meV/atom. As for the formation energy: 0.114 eV/atom. For the volume, the calculation gives 32.0 Å³ per atom. The space-group type is No. 225. The total energy is -4.467 eV/atom.

=====

This record from Alexandria via LeMat-Bulk describes a relaxed TeIF2 crystal. The functional is GGA-PBE.

Lattice parameters (Å, degrees): 6.5771 6.5771 6.5771 90.00 90.00 90.00
Fractional positions:
Te 0.0000 0.0000 0.0000
Te 0.0000 0.5000 0.5000
Te 0.5000 0.0000 0.5000
Te 0.5000 0.5000 0.0000
I 0.0000 0.0000 0.5000
I 0.0000 0.5000 0.0000
I 0.5000 0.0000 0.0000
I 0.5000 0.5000 0.5000
F 0.2500 0.2500 0.2500
F 0.2500 0.2500 0.7500
F 0.2500 0.7500 0.2500
F 0.2500 0.7500 0.7500
F 0.7500 0.2500 0.2500
F 0.7500 0.2500 0.7500
F 0.7500 0.7500 0.2500
F 0.7500 0.7500 0.7500

Values from the calculation:
The calculation puts the energy above the most stable polymorph in this dataset at 630 meV/atom. For the volume, the calculation gives 17.8 Å³ per atom. The space-group type is No. 225. For the uncorrected formation energy, the calculation gives -0.496 eV per atom. The total energy is -2.604 eV/atom.